No. 1
# TmBe17Ir | the Alexandria database | PBE | relaxed
# DOS(E_F)   0.24 states/eV/atom
# Total magnetization   0.0000 μB per atom
# Raw total energy   -4.17 eV/atom
data_TmBe17Ir
_symmetry_space_group_name_H-M 'R 3 m'
_symmetry_Int_Tables_number 160
_symmetry_space_group_name_Hall 'R 3 -2"'
_cell_length_a 7.4740
_cell_length_b 7.4740
_cell_length_c 10.8028
_cell_angle_alpha 90.00
_cell_angle_beta 90.00
_cell_angle_gamma 120.00
loop_
_atom_site_label
_atom_site_fract_x
_atom_site_fract_y
_atom_site_fract_z
Tm1 0.0000 0.0000 0.0000
Be1 0.0000 0.0000 0.5551
Be2 0.0000 0.0000 0.7501
Be3 0.0437 0.3686 0.3228
Be4 0.1727 0.3453 0.4924
Be5 0.1732 0.3463 0.8365
Be6 0.1761 0.3523 0.1384
Ir1 0.0000 0.0000 0.3287

No. 2
# TmBeIr | the Alexandria database | PBE | relaxed
# DOS(E_F)   0.43 states/eV/atom
# Total magnetization   0.0000 μB per atom
# Energy relative to the lowest polymorph listed for this composition   65 meV/atom
data_TmBeIr
_symmetry_space_group_name_H-M 'I m m a'
_symmetry_Int_Tables_number 74
_symmetry_space_group_name_Hall '-I 2b 2'
_cell_length_a 5.0089
_cell_length_b 5.5367
_cell_length_c 6.8455
_cell_angle_alpha 90.00
_cell_angle_beta 90.00
_cell_angle_gamma 90.00
loop_
_atom_site_label
_atom_site_fract_x
_atom_site_fract_y
_atom_site_fract_z
Tm1 0.0000 0.2500 0.1250
Be1 0.2500 0.2500 0.7500
Ir1 0.0000 0.0000 0.5000

No. 3
# TmBeIr | the Alexandria database | PBE | relaxed
# DOS(E_F)   0.46 states/eV/atom
# Total magnetization   0.0000 μB per atom
# Energy relative to the lowest polymorph listed for this composition   0 meV/atom
data_TmBeIr
_symmetry_space_group_name_H-M 'P n m a'
_symmetry_Int_Tables_number 62
_cell_length_a 6.6982
_cell_length_b 4.0733
_cell_length_c 7.1875
_cell_angle_alpha 90.00
_cell_angle_beta 90.00
_cell_angle_gamma 90.00
loop_
_symmetry_equiv_pos_as_xyz
'x,y,z'
'-x,-y,-z'
'-x+1/2,-y,z+1/2'
'x+1/2,y,-z+1/2'
'x+1/2,-y+1/2,-z+1/2'
'-x+1/2,y+1/2,z+1/2'
'-x,y+1/2,-z'
'x,-y+1/2,z'
loop_
_atom_site_label
_atom_site_fract_x
_atom_site_fract_y
_atom_site_fract_z
Tm1 0.9996 0.2500 0.1928
Be1 0.1810 0.2500 0.5938
Ir1 0.1830 0.7500 0.4259

No. 4
# Tm2BeIr | the Alexandria database | PBE | relaxed
# DOS(E_F)   0.63 states/eV/atom
# Total magnetization   0.0000 μB per atom
# Energy relative to the lowest polymorph listed for this composition   111 meV/atom
data_Tm2BeIr
_symmetry_space_group_name_H-M 'F m -3 m'
_symmetry_Int_Tables_number 225
_symmetry_space_group_name_Hall '-F 4 2 3'
_cell_length_a 6.7508
_cell_length_b 6.7508
_cell_length_c 6.7508
_cell_angle_alpha 90.00
_cell_angle_beta 90.00
_cell_angle_gamma 90.00
loop_
_atom_site_label
_atom_site_fract_x
_atom_site_fract_y
_atom_site_fract_z
Tm1 0.2500 0.2500 0.2500
Be1 0.0000 0.0000 0.0000
Ir1 0.0000 0.0000 0.5000

No. 5
# Tm2BeIr | the Alexandria database | PBE | relaxed
# DOS(E_F)   0.59 states/eV/atom
# Total magnetization   0.0000 μB per atom
# Energy relative to the lowest polymorph listed for this composition   4 meV/atom
data_Tm2BeIr
_symmetry_space_group_name_H-M 'P 1 21/m 1'
_symmetry_Int_Tables_number 11
_cell_length_a 5.5307
_cell_length_b 3.9375
_cell_length_c 7.9003
_cell_angle_alpha 90.00
_cell_angle_beta 108.80
_cell_angle_gamma 90.00
loop_
_symmetry_equiv_pos_as_xyz
'x,y,z'
'-x,-y,-z'
'-x,y+1/2,-z'
'x,-y+1/2,z'
loop_
_atom_site_label
_atom_site_fract_x
_atom_site_fract_y
_atom_site_fract_z
Tm1 0.2100 0.2500 0.4272
Tm2 0.2818 0.7500 0.0697
Be1 0.3361 0.7500 0.7224
Ir1 0.1521 0.2500 0.7779

No. 6
# Tm2BeIr | the Alexandria database | PBE | relaxed
# DOS(E_F)   0.53 states/eV/atom
# Total magnetization   0.0000 μB per atom
# Energy relative to the lowest polymorph listed for this composition   0 meV/atom
data_Tm2BeIr
_symmetry_space_group_name_H-M 'A m m 2'
_symmetry_Int_Tables_number 38
_cell_length_a 3.9362
_cell_length_b 3.9877
_cell_length_c 10.4129
_cell_angle_alpha 90.00
_cell_angle_beta 90.00
_cell_angle_gamma 90.00
loop_
_symmetry_equiv_pos_as_xyz
'x,y,z'
'-x,-y,z'
'-x,y,z'
'x,-y,z'
'x,y+1/2,z+1/2'
'-x,-y+1/2,z+1/2'
'-x,y+1/2,z+1/2'
'x,-y+1/2,z+1/2'
loop_
_atom_site_label
_atom_site_fract_x
_atom_site_fract_y
_atom_site_fract_z
Tm1 0.0000 0.0000 0.0000
Tm2 0.5000 0.0000 0.2826
Be1 0.0000 0.0000 0.6960
Ir1 0.5000 0.0000 0.5808

Question: Look up the DOS(E_F) of the sixth one.
Answer: 0.53 states/eV/atom

Question: What is the DOS(E_F) in the second record?
Answer: 0.43 states/eV/atom

Repeat the fifth record exactly.
# Tm2BeIr | the Alexandria database | PBE | relaxed
# DOS(E_F)   0.59 states/eV/atom
# Total magnetization   0.0000 μB per atom
# Energy relative to the lowest polymorph listed for this composition   4 meV/atom
data_Tm2BeIr
_symmetry_space_group_name_H-M 'P 1 21/m 1'
_symmetry_Int_Tables_number 11
_cell_length_a 5.5307
_cell_length_b 3.9375
_cell_length_c 7.9003
_cell_angle_alpha 90.00
_cell_angle_beta 108.80
_cell_angle_gamma 90.00
loop_
_symmetry_equiv_pos_as_xyz
'x,y,z'
'-x,-y,-z'
'-x,y+1/2,-z'
'x,-y+1/2,z'
loop_
_atom_site_label
_atom_site_fract_x
_atom_site_fract_y
_atom_site_fract_z
Tm1 0.2100 0.2500 0.4272
Tm2 0.2818 0.7500 0.0697
Be1 0.3361 0.7500 0.7224
Ir1 0.1521 0.2500 0.7779